1.
## CsNaTlAs (PBE)

Data for a relaxed structure of CsNaTlAs. Values from VASP.

Total magnetization, μB per cell: 0.00
Formation energy, eV/atom: -0.277

```
&SYSTEM
  ibrav = 0, nat = 4, ntyp = 4
/
ATOMIC_SPECIES
Cs 132.91 Cs.upf
Na 22.99 Na.upf
Tl 204.38 Tl.upf
As 74.92 As.upf
CELL_PARAMETERS angstrom
4.636 0.000 0.000
0.000 5.602 0.000
-2.318 -2.801 6.000
ATOMIC_POSITIONS crystal
Cs 0.970 0.970 0.940
Na 0.308 0.308 0.617
Tl 0.599 0.599 0.197
As 0.238 0.738 0.476
```

---

2.
## CsNaTl2As (PBE)

Data for a relaxed structure of CsNaTl2As. Values from VASP.

Total magnetization, μB per cell: 0.00
Formation energy, eV/atom: -0.205

```
&SYSTEM
  ibrav = 0, nat = 5, ntyp = 4
/
ATOMIC_SPECIES
Cs 132.91 Cs.upf
Na 22.99 Na.upf
Tl 204.38 Tl.upf
As 74.92 As.upf
CELL_PARAMETERS angstrom
-2.546 0.864 -4.839
-4.288 -0.489 2.169
3.299 6.088 2.518
ATOMIC_POSITIONS crystal
Cs 0.436 0.436 0.872
Na 0.215 0.715 0.430
Tl 0.688 0.188 0.376
Tl 0.047 0.047 0.094
As 0.826 0.826 0.653
```

---

3.
## CsNaAs2W (PBE)

Data for a relaxed structure of CsNaAs2W. Values from VASP.

Total magnetization, μB per cell: 0.00
Formation energy, eV/atom: 0.477

```
&SYSTEM
  ibrav = 0, nat = 5, ntyp = 4
/
ATOMIC_SPECIES
Cs 132.91 Cs.upf
Na 22.99 Na.upf
As 74.92 As.upf
W 183.84 W.upf
CELL_PARAMETERS angstrom
4.988 0.000 0.000
0.000 5.944 0.000
0.000 0.000 4.988
ATOMIC_POSITIONS crystal
Cs 0.000 0.500 0.000
Na 0.500 0.500 0.500
As 0.000 0.000 0.500
As 0.500 0.000 0.000
W 0.000 0.000 0.000
```

---

4.
## Cs6NbAs4 (PBE)

Data for a relaxed structure of Cs6NbAs4. Values from VASP.

Total magnetization, μB per cell: 1.20
Formation energy, eV/atom: -0.460

```
&SYSTEM
  ibrav = 0, nat = 22, ntyp = 3
/
ATOMIC_SPECIES
Cs 132.91 Cs.upf
Nb 92.91 Nb.upf
As 74.92 As.upf
CELL_PARAMETERS angstrom
9.041 0.000 0.000
0.000 9.684 -5.591
0.000 0.000 11.182
ATOMIC_POSITIONS crystal
Cs 0.457 0.711 0.855
Cs 0.457 0.145 0.289
Cs 0.457 0.145 0.855
Cs 0.957 0.289 0.145
Cs 0.957 0.855 0.711
Cs 0.957 0.855 0.145
Cs 0.639 0.930 0.465
Cs 0.639 0.535 0.070
Cs 0.639 0.535 0.465
Cs 0.139 0.070 0.535
Cs 0.139 0.465 0.930
Cs 0.139 0.465 0.535
Nb 0.744 0.333 0.667
Nb 0.244 0.667 0.333
As 0.468 0.333 0.667
As 0.968 0.667 0.333
As 0.831 0.581 0.790
As 0.831 0.210 0.419
As 0.831 0.210 0.790
As 0.331 0.419 0.210
As 0.331 0.790 0.581
As 0.331 0.790 0.210
```

---

5.
## CsNbAs3 (PBE)

Data for a relaxed structure of CsNbAs3. Values from VASP.

Total magnetization, μB per cell: 1.89
Formation energy, eV/atom: 2.180

```
&SYSTEM
  ibrav = 0, nat = 5, ntyp = 3
/
ATOMIC_SPECIES
Cs 132.91 Cs.upf
Nb 92.91 Nb.upf
As 74.92 As.upf
CELL_PARAMETERS angstrom
5.494 0.000 0.000
0.000 5.494 0.000
0.000 0.000 5.494
ATOMIC_POSITIONS crystal
Cs 0.000 0.000 0.000
Nb 0.500 0.500 0.500
As 0.000 0.500 0.000
As 0.000 0.000 0.500
As 0.500 0.000 0.000
```

---

6.
## Cs3NbAs3 (PBE)

Data for a relaxed structure of Cs3NbAs3. Values from VASP.

Total magnetization, μB per cell: 4.13
Formation energy, eV/atom: -0.407

```
&SYSTEM
  ibrav = 0, nat = 28, ntyp = 3
/
ATOMIC_SPECIES
Cs 132.91 Cs.upf
Nb 92.91 Nb.upf
As 74.92 As.upf
CELL_PARAMETERS angstrom
8.424 0.000 0.000
0.000 10.182 -0.713
0.000 -0.117 14.124
ATOMIC_POSITIONS crystal
Cs 0.907 0.978 0.855
Cs 0.593 0.978 0.355
Cs 0.177 0.647 0.708
Cs 0.697 0.619 0.560
Cs 0.323 0.647 0.208
Cs 0.803 0.619 0.060
Cs 0.197 0.381 0.940
Cs 0.677 0.353 0.792
Cs 0.303 0.381 0.440
Cs 0.823 0.353 0.292
Cs 0.407 0.022 0.645
Cs 0.093 0.022 0.145
Nb 0.436 0.853 0.943
Nb 0.064 0.853 0.443
Nb 0.936 0.147 0.557
Nb 0.564 0.147 0.057
As 0.923 0.911 0.600
As 0.577 0.911 0.100
As 0.183 0.744 0.969
As 0.317 0.744 0.469
As 0.582 0.713 0.824
As 0.918 0.713 0.324
As 0.082 0.287 0.676
As 0.418 0.287 0.176
As 0.683 0.256 0.531
As 0.817 0.256 0.031
As 0.423 0.089 0.900
As 0.077 0.089 0.400
```

---

7.
## CsNb3As (PBE)

Data for a relaxed structure of CsNb3As. Values from VASP.

ΔE to the lowest computed polymorph, kcal/mol of atoms: 32.99
Total magnetization, μB per cell: 0.00
Formation energy, eV/atom: 2.663

```
&SYSTEM
  ibrav = 0, nat = 5, ntyp = 3
/
ATOMIC_SPECIES
Cs 132.91 Cs.upf
Nb 92.91 Nb.upf
As 74.92 As.upf
CELL_PARAMETERS angstrom
5.035 0.000 0.000
0.000 5.035 0.000
0.000 0.000 5.035
ATOMIC_POSITIONS crystal
Cs 0.000 0.000 0.000
Nb 0.000 0.500 0.000
Nb 0.000 0.000 0.500
Nb 0.500 0.000 0.000
As 0.500 0.500 0.500
```

---

8.
## CsNb3As (PBE)

Data for a relaxed structure of CsNb3As. Values from VASP.

ΔE to the lowest computed polymorph, kcal/mol of atoms: 0.00
Total magnetization, μB per cell: 0.00
Formation energy, eV/atom: 1.232

```
&SYSTEM
  ibrav = 0, nat = 5, ntyp = 3
/
ATOMIC_SPECIES
Cs 132.91 Cs.upf
Nb 92.91 Nb.upf
As 74.92 As.upf
CELL_PARAMETERS angstrom
4.992 0.000 0.000
0.000 4.992 0.000
0.000 0.000 4.992
ATOMIC_POSITIONS crystal
Cs 0.500 0.500 0.500
Nb 0.000 0.500 0.000
Nb 0.000 0.000 0.500
Nb 0.500 0.000 0.000
As 0.000 0.000 0.000
```